Entry 1:
This record from the Alexandria database describes a relaxed structure of Ac2TbCuTe5. The functional is PBE-GGA.

Cell: 10.038 10.038 13.338 Å, 90.00 90.00 154.24°
Sites, in units of the cell vectors:
Ac 0.110 0.890 0.500
Ac 0.124 0.876 0.122
Ac 0.876 0.124 0.622
Ac 0.890 0.110 0.000
Tb 0.191 0.809 0.823
Tb 0.809 0.191 0.323
Cu 0.428 0.572 0.268
Cu 0.572 0.428 0.768
Te 0.043 0.957 0.868
Te 0.288 0.712 0.482
Te 0.310 0.690 0.162
Te 0.353 0.647 0.814
Te 0.499 0.501 0.098
Te 0.501 0.499 0.598
Te 0.647 0.353 0.314
Te 0.690 0.310 0.662
Te 0.712 0.288 0.982
Te 0.957 0.043 0.368

Properties
Total moment, μB/f.u.: 0.00
Formation energy without anion corrections, eV/atom: -1.313
Volume, Å³/atom: 32.45

***

Entry 2:
This record from the Alexandria database describes a relaxed structure of AcPmHo2Er. The functional is PBE-GGA.

Cell: 9.365 9.365 6.448 Å, 90.00 90.00 139.71°
Sites, in units of the cell vectors:
Ac 0.159 0.841 0.750
Ac 0.841 0.159 0.250
Pm 0.347 0.653 0.750
Pm 0.653 0.347 0.250
Ho 0.252 0.252 0.000
Ho 0.252 0.252 0.500
Ho 0.748 0.748 0.000
Ho 0.748 0.748 0.500
Er 0.249 0.751 0.250
Er 0.751 0.249 0.750

Properties
Total moment, μB/f.u.: 0.00
Volume, Å³/atom: 36.57
Energy of formation, eV/atom: 0.392
N(E_F), states/eV/f.u.: 8.74

***

Entry 3:
This record from the Alexandria database describes a relaxed structure of CaLaHgSb. The functional is PBE-GGA.

Cell: 7.750 7.750 7.750 Å, 90.00 90.00 90.00°
Sites, in units of the cell vectors:
Ca 0.000 0.000 0.000
Ca 0.000 0.500 0.500
Ca 0.500 0.000 0.500
Ca 0.500 0.500 0.000
La 0.000 0.000 0.500
La 0.000 0.500 0.000
La 0.500 0.000 0.000
La 0.500 0.500 0.500
Hg 0.250 0.250 0.250
Hg 0.250 0.750 0.750
Hg 0.750 0.250 0.750
Hg 0.750 0.750 0.250
Sb 0.250 0.250 0.750
Sb 0.250 0.750 0.250
Sb 0.750 0.250 0.250
Sb 0.750 0.750 0.750

Properties
Total moment, μB/f.u.: 0.00
Formation energy without anion corrections, eV/atom: -0.732
Volume, Å³/atom: 29.10
N(E_F), states/eV/f.u.: 2.96

***

Entry 4:
This record from the Alexandria database describes a relaxed structure of MnCr2Co4. The functional is PBE-GGA.

Cell: 6.102 6.102 6.102 Å, 112.30 112.30 103.95°
Sites, in units of the cell vectors:
Mn 0.250 0.250 0.000
Mn 0.750 0.750 0.000
Cr 0.154 0.654 0.808
Cr 0.346 0.154 0.500
Cr 0.654 0.846 0.500
Cr 0.846 0.346 0.192
Co 0.016 0.802 0.500
Co 0.198 0.698 0.214
Co 0.302 0.516 0.500
Co 0.484 0.984 0.786
Co 0.516 0.016 0.214
Co 0.698 0.484 0.500
Co 0.802 0.302 0.786
Co 0.984 0.198 0.500

Properties
Total moment, μB/f.u.: 5.19
Volume, Å³/atom: 12.40
Energy of formation, eV/atom: 0.295
N(E_F), states/eV/f.u.: 9.02